Entry 1:
Here is a relaxed structure of BaAgCl2 from the Alexandria database. Energies are from PBE-GGA.

Cell lengths 6.786, 6.786, 6.786 Å; angles 142.85, 141.54, 54.54 degrees
Sites, in units of the cell vectors:
Ba1 0.000 0.000 0.000
Ag1 0.717 0.217 0.500
Cl1 0.193 0.693 0.500
Cl2 0.445 0.445 0.000

VASP energy, eV/atom: -3.367
Formation energy without anion corrections, eV/atom: -1.250
E above lowest polymorph, eV per atom: 0.068
Symmetry: Imm2, No. 44
Density of states at the Fermi level, states/eV/cell: 1.72

***

Entry 2:
Here is a relaxed structure of KSbOs2 from the Alexandria database. Energies are from PBE-GGA.

Cell lengths 6.420, 6.420, 7.705 Å; angles 126.42, 126.42, 26.19 degrees
Sites, in units of the cell vectors:
K1 0.000 0.000 0.000
Sb1 0.500 0.500 0.500
Os1 0.201 0.201 0.568
Os2 0.799 0.799 0.432

VASP energy, eV/atom: -6.056
Formation energy without anion corrections, eV/atom: 0.864
Symmetry: C2/m, No. 12
Density of states at the Fermi level, states/eV/cell: 3.53

***

Entry 3:
Here is a relaxed structure of Ni2WCl from the Alexandria database. Energies are from PBE-GGA.

Cell lengths 4.198, 4.198, 4.198 Å; angles 60.00, 60.00, 60.00 degrees
Sites, in units of the cell vectors:
Ni1 0.000 0.000 0.000
Ni2 0.250 0.250 0.250
W1 0.500 0.500 0.500
Cl1 0.750 0.750 0.750

VASP energy, eV/atom: -5.906
Formation energy without anion corrections, eV/atom: 0.685
E above lowest polymorph, eV per atom: 0.536
Symmetry: F-43m, No. 216
Density of states at the Fermi level, states/eV/cell: 3.40

***

Entry 4:
Here is a relaxed structure of SmYGaNi from the Alexandria database. Energies are from PBE-GGA.

Cell lengths 4.400, 5.772, 5.772 Å; angles 38.55, 90.00, 90.00 degrees
Sites, in units of the cell vectors:
Sm1 0.000 0.000 0.000
Y1 0.500 0.718 0.718
Ga1 0.500 0.427 0.427
Ni1 0.000 0.295 0.295

VASP energy, eV/atom: -5.466
ΔH_f (0 K), kJ/mol of atoms: -45
Symmetry: Amm2, No. 38
Density of states at the Fermi level, states/eV/cell: 3.76

***

Entry 5:
Here is a relaxed structure of MnV3Cd from the Alexandria database. Energies are from PBE-GGA.

Cell lengths 4.354, 4.354, 4.354 Å; angles 90.00, 90.00, 90.00 degrees
Sites, in units of the cell vectors:
Mn1 0.000 0.000 0.000
V1 0.000 0.000 0.500
V2 0.000 0.500 0.000
V3 0.500 0.000 0.000
Cd1 0.500 0.500 0.500

VASP energy, eV/atom: -6.815
ΔH_f (0 K), kJ/mol of atoms: 65
E above lowest polymorph, eV per atom: 0.000
Symmetry: Pm-3m, No. 221
Density of states at the Fermi level, states/eV/cell: 5.10

***

Entry 6:
Here is a relaxed structure of Na3As4Pd2 from the Alexandria database. Energies are from PBE-GGA.

Cell lengths 5.900, 5.900, 8.692 Å; angles 100.27, 100.27, 41.65 degrees
Sites, in units of the cell vectors:
Na1 0.000 0.000 0.000
Na2 0.368 0.368 0.600
Na3 0.632 0.632 0.400
As1 0.076 0.076 0.644
As2 0.280 0.280 0.902
As3 0.720 0.720 0.098
As4 0.924 0.924 0.356
Pd1 0.342 0.342 0.203
Pd2 0.658 0.658 0.797

VASP energy, eV/atom: -4.036
ΔH_f (0 K), kJ/mol of atoms: -36
E above lowest polymorph, eV per atom: 0.000
Symmetry: C2/m, No. 12
Density of states at the Fermi level, states/eV/cell: 3.17

***

Entry 7:
Here is a relaxed structure of KRuAu from the Alexandria database. Energies are from PBE-GGA.

Cell lengths 4.726, 4.726, 4.726 Å; angles 60.00, 60.00, 60.00 degrees
Sites, in units of the cell vectors:
K1 0.000 0.000 0.000
Ru1 0.750 0.750 0.750
Au1 0.500 0.500 0.500

VASP energy, eV/atom: -3.369
ΔH_f (0 K), kJ/mol of atoms: 114
E above lowest polymorph, eV per atom: 0.628
Symmetry: F-43m, No. 216
Density of states at the Fermi level, states/eV/cell: 2.93

***

Entry 8:
Here is a relaxed structure of CeMn3Ga9 from the Alexandria database. Energies are from PBE-GGA.

Cell lengths 6.936, 6.936, 6.735 Å; angles 97.60, 97.60, 136.34 degrees
Sites, in units of the cell vectors:
Ce1 0.000 0.000 0.000
Mn1 0.000 0.500 0.000
Mn2 0.500 0.000 0.000
Mn3 0.500 0.500 0.500
Ga1 0.000 0.000 0.500
Ga2 0.006 0.651 0.665
Ga3 0.290 0.518 0.783
Ga4 0.349 0.994 0.335
Ga5 0.482 0.710 0.217
Ga6 0.518 0.290 0.783
Ga7 0.651 0.006 0.665
Ga8 0.710 0.482 0.217
Ga9 0.994 0.349 0.335

VASP energy, eV/atom: -4.875
ΔH_f (0 K), kJ/mol of atoms: -20
Symmetry: C2/m, No. 12
Density of states at the Fermi level, states/eV/cell: 11.46

***

Entry 9:
Here is a relaxed structure of KBe2As2O7 from the Alexandria database. Energies are from PBE-GGA.

Cell lengths 8.767, 8.767, 8.767 Å; angles 34.17, 34.17, 34.17 degrees
Sites, in units of the cell vectors:
K1 0.000 0.000 0.000
Be1 0.438 0.438 0.438
Be2 0.562 0.562 0.562
As1 0.235 0.235 0.235
As2 0.765 0.765 0.765
O1 0.087 0.470 0.671
O2 0.329 0.530 0.913
O3 0.470 0.671 0.087
O4 0.500 0.500 0.500
O5 0.530 0.913 0.329
O6 0.671 0.087 0.470
O7 0.913 0.329 0.530

VASP energy, eV/atom: -5.931
Formation energy without anion corrections, eV/atom: -1.552
Symmetry: R32, No. 155
Density of states at the Fermi level, states/eV/cell: 5.03

***

Entry 10:
Here is a relaxed structure of GaOF3 from the Alexandria database. Energies are from PBE-GGA.

Cell lengths 3.923, 3.923, 3.923 Å; angles 90.00, 90.00, 90.00 degrees
Sites, in units of the cell vectors:
Ga1 0.000 0.000 0.000
O1 0.500 0.500 0.500
F1 0.000 0.500 0.500
F2 0.500 0.000 0.500
F3 0.500 0.500 0.000

VASP energy, eV/atom: -2.979
Formation energy without anion corrections, eV/atom: -0.259
E above lowest polymorph, eV per atom: 1.677
Symmetry: Pm-3m, No. 221
Density of states at the Fermi level, states/eV/cell: 3.40

***

Entry 11:
Here is a relaxed structure of TbNdEu2 from the Alexandria database. Energies are from PBE-GGA.

Cell lengths 12.472, 12.472, 12.472 Å; angles 17.08, 17.08, 17.08 degrees
Sites, in units of the cell vectors:
Tb1 0.000 0.000 0.000
Nd1 0.500 0.500 0.500
Eu1 0.251 0.251 0.251
Eu2 0.749 0.749 0.749

VASP energy, eV/atom: -7.399
ΔH_f (0 K), kJ/mol of atoms: 8
E above lowest polymorph, eV per atom: 0.000
Symmetry: R-3m, No. 166
Density of states at the Fermi level, states/eV/cell: 5.52

***

Entry 12:
Here is a relaxed structure of TbErSe2O from the Alexandria database. Energies are from PBE-GGA.

Cell lengths 3.961, 3.961, 14.475 Å; angles 90.00, 90.00, 90.00 degrees
Sites, in units of the cell vectors:
Tb1 0.250 0.250 0.077
Tb2 0.750 0.750 0.923
Er1 0.250 0.250 0.627
Er2 0.750 0.750 0.373
Se1 0.250 0.250 0.412
Se2 0.250 0.250 0.807
Se3 0.750 0.750 0.193
Se4 0.750 0.750 0.588
O1 0.250 0.750 0.000
O2 0.750 0.250 0.000

VASP energy, eV/atom: -6.637
Formation energy without anion corrections, eV/atom: -2.413
Symmetry: P4/nmm, No. 129
Density of states at the Fermi level, states/eV/cell: 2.15